1.
The following is a meta-GGA SCAN calculation of a crystal of Sr2AlAg relaxed with PBEsol, from the Alexandria database.

Cell lengths 3.6300, 3.6300, 9.0697 Å; angles 90.00, 90.00, 90.00 degrees
Closest atoms and distances in Å follow each position.
Positions (direct):
1 Sr 0.0000 0.0000 0.0000  1 Ag 3.33, 4 Al 3.41, 4 Sr 3.63
2 Sr 0.5000 0.5000 0.3875  1 Al 3.31, 4 Ag 3.40, 4 Sr 3.63
3 Al 0.5000 0.5000 0.7529  4 Ag 2.79
4 Ag 0.0000 0.0000 0.6327  4 Al 2.79

## Properties
V = 29.88 Å³/atom
Formation enthalpy at 0 K = -83 meV per atom
Density = 4.31 g cm⁻³
Total DFT energy (no corrections) = -21.000 eV per atom

---

2.
The following is a meta-GGA SCAN calculation of a crystal of SrAl2Ag2 relaxed with PBEsol, from the Alexandria database.

Cell lengths 6.5557, 6.5557, 6.5557 Å; angles 141.69, 141.69, 55.30 degrees
Closest atoms and distances in Å follow each position.
Positions (direct):
1 Sr 0.0000 0.0000 0.0000  8 Ag 3.35, 8 Al 3.61
2 Al 0.2500 0.7500 0.5000  4 Ag 2.62
3 Al 0.7500 0.2500 0.5000  4 Ag 2.62
4 Ag 0.3792 0.3792 0.0000  4 Al 2.62, 1 Ag 2.80
5 Ag 0.6208 0.6208 0.0000  4 Al 2.62, 1 Ag 2.80

## Properties
V = 21.50 Å³/atom
Formation enthalpy at 0 K = -327 meV per atom
Density = 5.52 g cm⁻³
Total DFT energy (no corrections) = -20.429 eV per atom

---

3.
The following is a meta-GGA SCAN calculation of a crystal of TaAlAg2 relaxed with PBEsol, from the Alexandria database.

Cell lengths 5.6103, 5.6103, 5.6103 Å; angles 150.81, 129.24, 59.64 degrees
Closest atoms and distances in Å follow each position.
Positions (direct):
1 Ta 0.0000 0.0000 0.0000  4 Al 2.79, 2 Ta 2.83, 4 Ag 2.94
2 Al 0.5000 0.5000 0.0000  4 Ag 2.69, 4 Ta 2.79, 2 Al 2.83
3 Ag 0.2645 0.7645 0.5000  2 Al 2.69, 6 Ag 2.80-2.83, 2 Ta 2.94
4 Ag 0.7355 0.2355 0.5000  2 Al 2.69, 6 Ag 2.80-2.83, 2 Ta 2.94

## Properties
V = 16.55 Å³/atom
Polymorph energy (0 for the lowest one) = 0 meV per atom
Formation enthalpy at 0 K = 173 meV per atom
Density = 10.63 g cm⁻³
Total DFT energy (no corrections) = -34.094 eV per atom

---

| no. | DOS(E_F) (states/eV per atom) |
| --- | --- |
| 1 | 0.473 |
| 2 | 0.520 |
| 3 | 0.563 |